No. 1
This record from Alexandria describes Pu2HfTi after structural relaxation. The functional is PBE.

Values from the calculation:
- Total magnetization: 11.06 μB per formula unit
- Energy of formation: 0.296 eV per atom
- Distance to the lowest polymorph of the same formula: 0.078 eV per atom

Cell: 5.2165 5.2165 3.2649 Å, 90.00 90.00 90.00°
Space group P4/mmm (No. 123)
Unique sites:
Pu1 0.0000 0.5000 0.0000 x2
Hf1 0.0000 0.0000 0.5000 x1
Ti1 0.5000 0.5000 0.5000 x1

No. 2
This record from Alexandria describes PuHfTi6 after structural relaxation. The functional is PBE.

Values from the calculation:
- Total magnetization: 5.42 μB per formula unit
- Energy of formation: 0.063 eV per atom

Cell: 5.9429 5.9429 4.1646 Å, 90.00 90.00 90.00°
Space group P4/mmm (No. 123)
Unique sites:
Pu1 0.0000 0.0000 0.0000 x1
Hf1 0.5000 0.5000 0.0000 x1
Ti1 0.0000 0.5000 0.0000 x2
Ti2 0.2473 0.2473 0.5000 x4

No. 3
This record from Alexandria describes PuHf2Ti5 after structural relaxation. The functional is PBE.

Values from the calculation:
- Total magnetization: 5.27 μB per formula unit
- Energy of formation: 0.082 eV per atom

Cell: 15.6708 5.1423 7.8864 Å, 90.00 104.09 90.00°
Space group C2/c (No. 15)
Unique sites:
Pu1 0.2500 0.2500 0.0000 x4
Hf1 0.1216 0.1804 0.6189 x8
Ti1 0.0000 0.1963 0.2500 x4
Ti2 0.0620 0.3286 0.9391 x8
Ti3 0.1803 0.3143 0.3010 x8

No. 4
This record from Alexandria describes PuHfTi2 after structural relaxation. The functional is PBE.

Values from the calculation:
- Total magnetization: 6.01 μB per formula unit
- Energy of formation: 0.142 eV per atom
- Distance to the lowest polymorph of the same formula: 0.030 eV per atom

Cell: 6.8191 6.8191 6.8191 Å, 90.00 90.00 90.00°
Space group Fm-3m (No. 225)
Unique sites:
Pu1 0.0000 0.0000 0.0000 x4
Hf1 0.0000 0.0000 0.5000 x4
Ti1 0.2500 0.2500 0.2500 x8

No. 5
This record from Alexandria describes PuHfTi after structural relaxation. The functional is PBE.

Values from the calculation:
- Total magnetization: 4.96 μB per formula unit
- Energy of formation: 0.097 eV per atom
- Distance to the lowest polymorph of the same formula: 0.020 eV per atom

Cell: 3.0165 4.8514 8.5074 Å, 90.00 90.00 90.00°
Space group Pmmn (No. 59, origin choice 2)
Unique sites:
Pu1 0.2500 0.2500 0.2372 x2
Hf1 0.2500 0.2500 0.5937 x2
Ti1 0.2500 0.7500 0.0763 x2

No. 6
This record from Alexandria describes Pu2HfTi after structural relaxation. The functional is PBE.

Values from the calculation:
- Total magnetization: 10.85 μB per formula unit
- Energy of formation: 0.218 eV per atom
- Distance to the lowest polymorph of the same formula: 0.000 eV per atom

Cell: 3.1902 3.1902 30.2899 Å, 90.00 90.00 120.00°
Space group R-3m (No. 166, hexagonal axes)
Unique sites:
Pu1 0.0000 0.0000 0.2466 x6
Hf1 0.0000 0.0000 0.0000 x3
Ti1 0.0000 0.0000 0.5000 x3

Question: The lowest total magnetization belongs to which entry?
Answer: PuHfTi

Question: What is the total magnetization in the first record?
Answer: 11.06 μB per formula unit

Copy entry 6 word for word.
This record from Alexandria describes Pu2HfTi after structural relaxation. The functional is PBE.

Values from the calculation:
- Total magnetization: 10.85 μB per formula unit
- Energy of formation: 0.218 eV per atom
- Distance to the lowest polymorph of the same formula: 0.000 eV per atom

Cell: 3.1902 3.1902 30.2899 Å, 90.00 90.00 120.00°
Space group R-3m (No. 166, hexagonal axes)
Unique sites:
Pu1 0.0000 0.0000 0.2466 x6
Hf1 0.0000 0.0000 0.0000 x3
Ti1 0.0000 0.0000 0.5000 x3